[1]
First-principles (SCAN) data for LiMn4O8 at its PBEsol-relaxed geometry, as listed in Alexandria.

Unit cell a=5.491 b=5.491 c=9.227 alpha=90.00 beta=90.00 gamma=118.68
Last column: magnetic moment on the atom in μB.
Atoms (fractional coordinates):
Li1 0.128 0.872 0.920  0.00
Li2 0.872 0.128 0.420  0.00
Mn1 0.129 0.372 0.135  2.59
Mn2 0.628 0.871 0.135  2.59
Mn3 0.383 0.617 0.863  2.53
Mn4 0.861 0.139 0.861  2.52
Mn5 0.139 0.861 0.361  2.52
Mn6 0.617 0.383 0.363  2.53
Mn7 0.372 0.129 0.635  2.59
Mn8 0.871 0.628 0.635  2.59
O1 0.266 0.734 0.208  0.11
O2 0.772 0.228 0.222  0.10
O3 0.230 0.256 0.790  0.09
O4 0.744 0.770 0.790  0.09
O5 0.256 0.230 0.290  0.09
O6 0.770 0.744 0.290  0.09
O7 0.228 0.772 0.722  0.10
O8 0.734 0.266 0.708  0.11
O9 0.973 0.027 0.039  0.04
O10 0.480 0.520 0.042  0.05
O11 0.517 0.973 0.958  0.04
O12 0.027 0.483 0.958  0.04
O13 0.027 0.973 0.539  0.04
O14 0.520 0.480 0.542  0.05
O15 0.483 0.027 0.458  0.04
O16 0.973 0.517 0.458  0.04

## Properties
Symmetry: No. 36
D(E_F) in states/eV/cell: 7.304

***

[2]
First-principles (SCAN) data for LiMn7O12 at its PBEsol-relaxed geometry, as listed in Alexandria.

Unit cell a=4.909 b=4.909 c=9.736 alpha=96.11 beta=96.11 gamma=120.29
Last column: magnetic moment on the atom in μB.
Atoms (fractional coordinates):
Mn1 0.071 0.929 0.500  -2.35
Mn2 0.257 0.743 0.000  2.58
Mn3 0.418 0.582 0.500  -2.39
Mn4 0.581 0.419 0.000  0.77
Mn5 0.999 0.482 0.242  -4.00
Mn6 0.743 0.257 0.500  -2.95
Mn7 0.518 0.001 0.758  -4.00
O1 0.347 0.861 0.390  -0.03
O2 0.776 0.969 0.612  -0.05
O3 0.527 0.697 0.893  0.01
O4 0.139 0.653 0.610  -0.03
O5 0.303 0.473 0.107  0.01
O6 0.969 0.755 0.114  0.09
O7 0.031 0.224 0.388  -0.05
O8 0.708 0.545 0.392  -0.07
O9 0.855 0.372 0.887  -0.07
O10 0.455 0.292 0.608  -0.07
O11 0.245 0.031 0.886  0.09
O12 0.628 0.145 0.113  -0.07
Li1 0.929 0.071 0.000  0.00

## Properties
Symmetry: No. 5
D(E_F) in states/eV/cell: 6.193

***

[3]
First-principles (SCAN) data for Li13Mn8O24 at its PBEsol-relaxed geometry, as listed in Alexandria.

Unit cell a=4.891 b=8.425 c=9.449 alpha=90.00 beta=99.31 gamma=90.00
Last column: magnetic moment on the atom in μB.
Atoms (fractional coordinates):
Li1 0.000 0.500 0.000  0.00
Li2 0.245 0.846 0.750  0.00
Li3 0.256 0.347 0.254  0.00
Li4 0.252 0.000 0.250  0.00
Li5 0.256 0.653 0.254  0.00
Li6 0.245 0.154 0.750  0.00
Li7 0.260 0.500 0.746  0.00
Li8 0.744 0.347 0.746  0.00
Li9 0.755 0.846 0.250  0.00
Li10 0.740 0.500 0.254  0.00
Li11 0.755 0.154 0.250  0.00
Li12 0.744 0.653 0.746  0.00
Li13 0.748 0.000 0.750  0.00
Mn1 0.000 0.668 0.500  2.54
Mn2 0.000 0.332 0.500  2.54
Mn3 0.000 0.165 0.000  2.64
Mn4 0.000 0.835 0.000  2.64
Mn5 0.500 0.168 0.500  2.54
Mn6 0.500 0.832 0.500  2.54
Mn7 0.500 0.672 0.000  2.63
Mn8 0.500 0.328 0.000  2.63
O1 0.090 0.500 0.385  0.00
O2 0.151 0.814 0.387  -0.03
O3 0.151 0.186 0.387  -0.03
O4 0.093 0.000 0.883  0.03
O5 0.350 0.687 0.614  -0.02
O6 0.350 0.313 0.614  -0.02
O7 0.144 0.680 0.887  0.05
O8 0.144 0.320 0.887  0.05
O9 0.409 0.000 0.615  0.00
O10 0.351 0.815 0.113  -0.04
O11 0.351 0.185 0.113  -0.04
O12 0.395 0.500 0.113  0.02
O13 0.591 0.000 0.385  0.00
O14 0.650 0.313 0.386  -0.02
O15 0.650 0.687 0.386  -0.02
O16 0.605 0.500 0.887  0.02
O17 0.849 0.186 0.613  -0.03
O18 0.849 0.814 0.613  -0.03
O19 0.649 0.185 0.887  -0.04
O20 0.649 0.815 0.887  -0.04
O21 0.910 0.500 0.615  0.00
O22 0.856 0.320 0.113  0.05
O23 0.856 0.680 0.113  0.05
O24 0.907 0.000 0.117  0.03

## Properties
Symmetry: No. 10
D(E_F) in states/eV/cell: 15.715

***

[4]
First-principles (SCAN) data for Li6MnO6 at its PBEsol-relaxed geometry, as listed in Alexandria.

Unit cell a=5.335 b=5.335 c=5.335 alpha=63.24 beta=63.24 gamma=63.24
Last column: magnetic moment on the atom in μB.
Atoms (fractional coordinates):
Mn1 0.000 0.000 0.000  2.29
O1 0.096 0.800 0.346  -0.20
O2 0.200 0.654 0.904  -0.20
O3 0.654 0.904 0.200  -0.20
O4 0.346 0.096 0.800  -0.20
O5 0.800 0.346 0.096  -0.20
O6 0.904 0.200 0.654  -0.20
Li1 0.284 0.923 0.504  0.00
Li2 0.077 0.496 0.716  0.00
Li3 0.496 0.716 0.077  0.00
Li4 0.504 0.284 0.923  0.00
Li5 0.923 0.504 0.284  0.00
Li6 0.716 0.077 0.496  0.00

## Properties
Symmetry: No. 148
D(E_F) in states/eV/cell: 5.249

***

[5]
First-principles (SCAN) data for LiMn3O4 at its PBEsol-relaxed geometry, as listed in Alexandria.

Unit cell a=5.094 b=5.755 c=6.051 alpha=62.18 beta=77.91 gamma=74.29
Last column: magnetic moment on the atom in μB.
Atoms (fractional coordinates):
Li1 0.000 0.250 0.750  0.01
Li2 0.000 0.750 0.250  0.01
Mn1 0.000 0.750 0.750  4.39
Mn2 0.000 0.250 0.250  4.39
Mn3 0.500 0.000 0.000  4.30
Mn4 0.500 0.500 0.000  4.05
Mn5 0.500 0.000 0.500  4.05
Mn6 0.500 0.500 0.500  4.30
O1 0.744 0.148 0.100  0.14
O2 0.744 0.648 0.600  0.14
O3 0.256 0.352 0.400  0.14
O4 0.256 0.852 0.900  0.14
O5 0.254 0.369 0.891  0.18
O6 0.254 0.869 0.391  0.18
O7 0.746 0.131 0.609  0.18
O8 0.746 0.631 0.109  0.18

## Properties
Symmetry: No. 2
D(E_F) in states/eV/cell: 6.746

***

[6]
First-principles (SCAN) data for Li7Mn5O12 at its PBEsol-relaxed geometry, as listed in Alexandria.

Unit cell a=4.861 b=6.386 c=6.386 alpha=82.58 beta=82.88 gamma=82.88
Last column: magnetic moment on the atom in μB.
Atoms (fractional coordinates):
Li1 0.000 0.000 0.000  0.00
Li2 0.244 0.242 0.242  0.00
Li3 0.756 0.758 0.758  0.00
Li4 0.243 0.919 0.592  0.00
Li5 0.243 0.592 0.919  0.00
Li6 0.757 0.408 0.081  0.00
Li7 0.757 0.081 0.408  0.00
Mn1 0.500 0.163 0.837  2.35
Mn2 0.500 0.837 0.163  2.35
Mn3 0.000 0.670 0.330  2.25
Mn4 0.000 0.330 0.670  2.25
Mn5 0.500 0.500 0.500  1.96
O1 0.126 0.613 0.613  0.05
O2 0.874 0.387 0.387  0.05
O3 0.611 0.116 0.116  0.06
O4 0.389 0.884 0.884  0.06
O5 0.139 0.291 0.937  0.07
O6 0.139 0.937 0.291  0.07
O7 0.861 0.063 0.709  0.07
O8 0.861 0.709 0.063  0.07
O9 0.631 0.779 0.445  0.04
O10 0.631 0.445 0.779  0.04
O11 0.369 0.555 0.221  0.04
O12 0.369 0.221 0.555  0.04

## Properties
Symmetry: No. 12
D(E_F) in states/eV/cell: 3.445

***

[7]
First-principles (SCAN) data for LiMn4O8 at its PBEsol-relaxed geometry, as listed in Alexandria.

Unit cell a=5.678 b=5.680 c=5.679 alpha=119.97 beta=90.00 gamma=119.99
Last column: magnetic moment on the atom in μB.
Atoms (fractional coordinates):
Li1 0.626 0.252 0.875  0.01
Mn1 0.002 0.499 0.499  2.60
Mn2 0.002 0.004 0.003  2.60
Mn3 0.002 0.004 0.499  2.60
Mn4 0.497 0.499 0.499  2.60
O1 0.237 0.473 0.708  0.07
O2 0.237 0.029 0.264  0.07
O3 0.792 0.029 0.264  0.07
O4 0.237 0.473 0.264  0.07
O5 0.763 0.975 0.737  0.05
O6 0.764 0.528 0.289  0.05
O7 0.764 0.528 0.737  0.05
O8 0.212 0.975 0.737  0.05

## Properties
Symmetry: No. 216
D(E_F) in states/eV/cell: 2.917

***

[8]
First-principles (SCAN) data for Li5MnO4 at its PBEsol-relaxed geometry, as listed in Alexandria.

Unit cell a=4.440 b=6.486 c=6.627 alpha=90.00 beta=90.00 gamma=90.00
Last column: magnetic moment on the atom in μB.
Atoms (fractional coordinates):
Li1 0.252 0.760 0.802  0.00
Li2 0.252 0.240 0.802  0.00
Li3 0.811 0.500 0.000  0.01
Li4 0.252 0.760 0.198  0.00
Li5 0.252 0.240 0.198  0.00
Li6 0.748 0.740 0.302  0.00
Li7 0.748 0.260 0.302  0.00
Li8 0.189 0.000 0.500  0.01
Li9 0.748 0.740 0.698  0.00
Li10 0.748 0.260 0.698  0.00
Mn1 0.770 0.000 0.000  3.45
Mn2 0.230 0.500 0.500  3.45
O1 0.966 0.000 0.750  0.08
O2 0.580 0.746 0.000  0.08
O3 0.580 0.254 0.000  0.08
O4 0.966 0.000 0.250  0.08
O5 0.034 0.500 0.250  0.08
O6 0.420 0.754 0.500  0.08
O7 0.420 0.246 0.500  0.08
O8 0.034 0.500 0.750  0.08

## Properties
Symmetry: No. 59

***

[9]
First-principles (SCAN) data for Li5Mn3O8 at its PBEsol-relaxed geometry, as listed in Alexandria.

Unit cell a=5.621 b=5.621 c=9.954 alpha=73.59 beta=73.59 gamma=60.00
Last column: magnetic moment on the atom in μB.
Atoms (fractional coordinates):
Li1 0.250 0.750 0.250  0.00
Li2 0.750 0.250 0.750  0.00
Li3 0.500 0.000 0.500  0.00
Li4 0.000 0.500 0.000  0.00
Li5 0.750 0.750 0.250  0.00
Li6 0.250 0.250 0.750  0.00
Li7 0.750 0.250 0.250  0.00
Li8 0.250 0.750 0.750  0.00
Li9 0.250 0.250 0.250  0.00
Li10 0.750 0.750 0.750  0.00
Mn1 0.500 0.000 0.000  2.45
Mn2 0.500 0.500 0.500  2.45
Mn3 0.000 0.000 0.000  2.45
Mn4 0.000 0.000 0.500  2.45
Mn5 0.500 0.500 0.000  2.45
Mn6 0.000 0.500 0.500  2.45
O1 0.871 0.371 0.388  0.03
O2 0.371 0.871 0.888  0.03
O3 0.629 0.129 0.112  0.03
O4 0.129 0.629 0.612  0.03
O5 0.363 0.387 0.387  0.08
O6 0.863 0.887 0.887  0.08
O7 0.363 0.863 0.387  0.08
O8 0.863 0.363 0.887  0.08
O9 0.887 0.863 0.387  0.08
O10 0.387 0.363 0.887  0.08
O11 0.137 0.113 0.113  0.08
O12 0.637 0.613 0.613  0.08
O13 0.137 0.637 0.113  0.08
O14 0.637 0.137 0.613  0.08
O15 0.613 0.637 0.113  0.08
O16 0.113 0.137 0.613  0.08

## Properties
Symmetry: No. 166
D(E_F) in states/eV/cell: 5.273

***

[10]
First-principles (SCAN) data for Li7Mn5O12 at its PBEsol-relaxed geometry, as listed in Alexandria.

Unit cell a=4.989 b=4.989 c=9.445 alpha=95.12 beta=95.12 gamma=119.49
Last column: magnetic moment on the atom in μB.
Atoms (fractional coordinates):
Mn1 0.074 0.926 0.000  3.63
Mn2 0.505 0.992 0.263  3.54
Mn3 0.008 0.495 0.737  3.54
Mn4 0.415 0.585 0.000  3.17
Mn5 0.579 0.421 0.500  -2.55
O1 0.248 0.059 0.379  0.00
O2 0.941 0.752 0.621  0.00
O3 0.345 0.845 0.873  0.08
O4 0.155 0.655 0.127  0.08
O5 0.548 0.691 0.382  0.00
O6 0.309 0.452 0.618  0.00
O7 0.720 0.576 0.890  0.02
O8 0.424 0.280 0.110  0.02
O9 0.836 0.352 0.373  0.02
O10 0.648 0.164 0.627  0.02
O11 0.062 0.241 0.877  0.06
O12 0.759 0.938 0.123  0.06
Li1 0.256 0.744 0.500  0.00
Li2 0.661 0.833 0.739  0.00
Li3 0.840 0.668 0.261  0.00
Li4 0.167 0.339 0.261  0.00
Li5 0.332 0.160 0.739  0.00
Li6 0.744 0.256 0.000  0.00
Li7 0.925 0.075 0.500  0.00

## Properties
Symmetry: No. 5

***

[11]
First-principles (SCAN) data for Li5Mn3O8 at its PBEsol-relaxed geometry, as listed in Alexandria.

Unit cell a=2.814 b=4.994 c=9.544 alpha=101.07 beta=90.00 gamma=90.00
Last column: magnetic moment on the atom in μB.
Atoms (fractional coordinates):
Li1 0.000 0.500 0.000  0.00
Li2 0.000 0.000 0.500  0.00
Li3 0.500 0.000 0.000  0.00
Li4 0.500 0.244 0.758  0.00
Li5 0.500 0.756 0.242  0.00
Mn1 0.500 0.500 0.500  -2.25
Mn2 0.000 0.241 0.241  2.51
Mn3 0.000 0.759 0.759  2.51
O1 0.500 0.368 0.139  0.04
O2 0.500 0.632 0.861  0.04
O3 0.000 0.094 0.861  0.16
O4 0.000 0.906 0.139  0.16
O5 0.500 0.846 0.628  0.01
O6 0.500 0.154 0.372  0.01
O7 0.000 0.604 0.384  -0.04
O8 0.000 0.396 0.616  -0.04

## Properties
Symmetry: No. 10
D(E_F) in states/eV/cell: 2.852

***

[12]
First-principles (SCAN) data for Li3Mn2P4O14 at its PBEsol-relaxed geometry, as listed in Alexandria.

Unit cell a=4.998 b=6.991 c=8.264 alpha=87.53 beta=87.17 gamma=70.08
Last column: magnetic moment on the atom in μB.
Atoms (fractional coordinates):
Li1 0.187 0.344 0.149  0.00
Li2 0.286 0.911 0.834  0.00
Li3 0.812 0.663 0.622  0.00
Mn1 0.227 0.260 0.492  4.28
Mn2 0.807 0.727 0.013  4.08
P1 0.377 0.488 0.802  0.01
P2 0.216 0.917 0.213  0.02
P3 0.791 0.083 0.714  0.02
P4 0.602 0.521 0.322  0.02
O1 0.072 0.117 0.669  0.00
O2 0.154 0.122 0.292  0.02
O3 0.185 0.512 0.957  0.01
O4 0.216 0.491 0.650  0.02
O5 0.407 0.394 0.319  0.00
O6 0.618 0.058 0.578  0.03
O7 0.604 0.262 0.830  0.00
O8 0.409 0.756 0.344  0.01
O9 0.403 0.907 0.055  0.01
O10 0.541 0.638 0.793  0.02
O11 0.762 0.509 0.156  0.00
O12 0.798 0.474 0.464  0.03
O13 0.880 0.892 0.829  0.01
O14 0.957 0.861 0.185  0.06

## Properties
Symmetry: No. 1
D(E_F) in states/eV/cell: 2.915

***

Number 1: E_tot -306.47 eV for the cell shown, total magnetic moment 11.0 μB per formula unit, raw formation energy -2.15 eV per atom. Number 2: E_tot -245.25 eV for the cell shown, total magnetic moment 12.8 μB per formula unit, raw formation energy -2.01 eV per atom. Number 3: E_tot -424.14 eV for the cell shown, total magnetic moment 21.0 μB per formula unit, raw formation energy -2.17 eV per atom. Number 4: E_tot -94.34 eV for the cell shown, total magnetic moment 1.0 μB per formula unit, raw formation energy -1.87 eV per atom. Number 5: E_tot -196.53 eV for the cell shown, total magnetic moment 13.9 μB per formula unit, raw formation energy -2.02 eV per atom. Number 6: E_tot -237.03 eV for the cell shown, total magnetic moment 12.0 μB per formula unit, raw formation energy -2.26 eV per atom. Number 7: E_tot -153.60 eV for the cell shown, total magnetic moment 11.0 μB per formula unit, raw formation energy -2.18 eV per atom. Number 8: E_tot -151.19 eV for the cell shown, total magnetic moment 4.0 μB per formula unit, raw formation energy -2.05 eV per atom. Number 9: E_tot -306.06 eV for the cell shown, total magnetic moment 8.0 μB per formula unit, raw formation energy -2.28 eV per atom. Number 10: E_tot -237.40 eV for the cell shown, total magnetic moment 12.0 μB per formula unit, raw formation energy -2.28 eV per atom. Number 11: E_tot -152.61 eV for the cell shown, total magnetic moment 3.2 μB per formula unit, raw formation energy -2.25 eV per atom. Number 12: E_tot -229.43 eV for the cell shown, total magnetic moment 9.0 μB per formula unit, raw formation energy -2.47 eV per atom.